Record 1
Compound: RbLiEr2Se4
Source: Alexandria via LeMat-Bulk
Functional: PBE
Structure: relaxed

Summary:
E_tot	-4.93	eV/atom
total moment	0.0	Bohr magnetons per cell
symmetry	No. 63
formation energy without anion corrections	-1689.7	meV/atom

Lattice parameters (Å, degrees): 4.185 7.357 14.577 90.00 90.00 106.53
Sites, in units of the cell vectors:
1 Se 0.262 0.524 0.105
2 Li 0.831 0.661 0.750
3 Se 0.577 0.154 0.250
4 Se 0.738 0.476 0.605
5 Er 0.366 0.732 0.562
6 Er 0.634 0.268 0.438
7 Se 0.000 0.000 0.500
8 Er 0.634 0.268 0.062
9 Se 0.000 0.000 0.000
10 Se 0.262 0.524 0.395
11 Rb 0.891 0.783 0.250
12 Li 0.169 0.339 0.250
13 Se 0.423 0.846 0.750
14 Rb 0.109 0.217 0.750
15 Se 0.738 0.476 0.895
16 Er 0.366 0.732 0.938

Record 2
Compound: LiMn2Br
Source: Alexandria via LeMat-Bulk
Functional: PBE
Structure: relaxed

Summary:
E_tot	-5.33	eV/atom
total moment	7.8	Bohr magnetons per cell
symmetry	No. 8
polymorph energy (0 for the lowest one)	101	meV per atom
formation energy without anion corrections	156.1	meV/atom

Lattice parameters (Å, degrees): 3.229 3.229 8.497 78.92 78.92 60.03
Site moments in Bohr magnetons follow the coordinates.
Sites, in units of the cell vectors:
1 Mn 0.753 0.753 0.742  3.73
2 Li 0.241 0.241 0.281  0.00
3 Br 0.502 0.502 0.496  0.04
4 Mn 0.005 0.005 0.982  3.73

Record 3
Compound: Y2Mo
Source: Alexandria via LeMat-Bulk
Functional: PBE
Structure: relaxed

Summary:
E_tot	-7.56	eV/atom
total moment	0.1	Bohr magnetons per cell
energy relative to the elements	0.357	eV/atom
symmetry	No. 189
polymorph energy (0 for the lowest one)	211	meV per atom

Lattice parameters (Å, degrees): 8.269 8.269 3.772 90.00 90.00 120.00
Sites, in units of the cell vectors:
1 Y 0.274 0.000 0.000
2 Y 0.613 0.000 0.500
3 Y 0.387 0.387 0.500
4 Y 0.000 0.274 0.000
5 Mo 0.000 0.000 0.500
6 Y 0.726 0.726 0.000
7 Mo 0.667 0.333 0.000
8 Y 0.000 0.613 0.500
9 Mo 0.333 0.667 0.000

Record 4
Compound: Li2TbSbSe4
Source: Alexandria via LeMat-Bulk
Functional: PBE
Structure: relaxed

Summary:
E_tot	-4.48	eV/atom
total moment	0.0	Bohr magnetons per cell
symmetry	No. 10
formation energy without anion corrections	-1162.4	meV/atom

Lattice parameters (Å, degrees): 4.079 6.923 7.101 70.04 90.00 90.00
Sites, in units of the cell vectors:
1 Se 0.500 0.246 0.752
2 Tb 0.000 0.500 0.500
3 Se 0.000 0.757 0.747
4 Se 0.500 0.754 0.248
5 Li 0.000 0.000 0.000
6 Se 0.000 0.243 0.253
7 Sb 0.500 0.500 0.000
8 Li 0.500 0.000 0.500

Repeat the third record exactly.
Compound: Y2Mo
Source: Alexandria via LeMat-Bulk
Functional: PBE
Structure: relaxed

Summary:
E_tot	-7.56	eV/atom
total moment	0.1	Bohr magnetons per cell
energy relative to the elements	0.357	eV/atom
symmetry	No. 189
polymorph energy (0 for the lowest one)	211	meV per atom

Lattice parameters (Å, degrees): 8.269 8.269 3.772 90.00 90.00 120.00
Sites, in units of the cell vectors:
1 Y 0.274 0.000 0.000
2 Y 0.613 0.000 0.500
3 Y 0.387 0.387 0.500
4 Y 0.000 0.274 0.000
5 Mo 0.000 0.000 0.500
6 Y 0.726 0.726 0.000
7 Mo 0.667 0.333 0.000
8 Y 0.000 0.613 0.500
9 Mo 0.333 0.667 0.000